Below is NiBIr after structural relaxation, with properties calculated at the PBE level.

The space group is F-43m (No. 216) and the conventional cell measures 5.364, 5.364 and 5.364 Å, with angles of 90.00, 90.00 and 90.00 degrees. The distinct sites, in fractional coordinates, are Ni at (0.000, 0.000, 0.000), B at (0.000, 0.000, 0.500) and Ir at (0.250, 0.250, 0.750).

The uncorrected energy comes out at -77.59 eV/cell. As for the size of the total moment: 0.7 μB per formula unit.

---

Below is ZrAl2Mo after structural relaxation, with properties calculated at the PBE level.

The space group is F-43m (No. 216) and the conventional cell measures 6.491, 6.491 and 6.491 Å, with angles of 90.00, 90.00 and 90.00 degrees. The distinct sites, in fractional coordinates, are Zr at (0.000, 0.000, 0.000), Al at (0.000, 0.000, 0.500), Al at (0.250, 0.250, 0.750) and Mo at (0.250, 0.250, 0.250).

The uncorrected energy comes out at -108.92 eV/cell. As for the size of the total moment: 0.0 μB per formula unit.

---

Below is NbAlIr2 after structural relaxation, with properties calculated at the PBE level.

The space group is F-43m (No. 216) and the conventional cell measures 6.285, 6.285 and 6.285 Å, with angles of 90.00, 90.00 and 90.00 degrees. The distinct sites, in fractional coordinates, are Nb at (0.000, 0.000, 0.000), Al at (0.250, 0.250, 0.750), Ir at (0.000, 0.000, 0.500) and Ir at (0.250, 0.250, 0.250).

The uncorrected energy comes out at -129.85 eV/cell. As for the size of the total moment: 0.1 μB per formula unit.

---

Below is Sm2H2IBrO2 after structural relaxation, with properties calculated at the PBE level.

The space group is P3m1 (No. 156) and the conventional cell measures 4.0147, 4.0147 and 10.8095 Å, with angles of 90.00, 90.00 and 120.00 degrees. The distinct sites, in fractional coordinates, are Sm at (0.0000, 0.0000, 0.0000), Sm at (0.3333, 0.6667, 0.4836), H at (0.6667, 0.3333, 0.3178), H at (0.6667, 0.3333, 0.8473), I at (0.0000, 0.0000, 0.6905), Br at (0.3333, 0.6667, 0.1843), O at (0.6667, 0.3333, 0.4085) and O at (0.6667, 0.3333, 0.9381).

The uncorrected energy comes out at -41.55 eV/cell. As for the size of the total moment: 1.9 μB per formula unit.

---

Below is DySc after structural relaxation, with properties calculated at the PBE level.

The space group is P6_3/mmc (No. 194) and the conventional cell measures 3.4163, 3.4163 and 10.3871 Å, with angles of 90.00, 90.00 and 120.00 degrees. The distinct sites, in fractional coordinates, are Dy at (0.0000, 0.0000, 0.0000) and Sc at (0.3333, 0.6667, 0.2500).

The energy relative to the lowest polymorph listed for this composition is 0.0222 eV/atom. The uncorrected energy comes out at -21.59 eV/cell. As for the formation energy from the elements: 0.07 eV per atom. As for the size of the total moment: 0.0 μB per formula unit.

---

Below is LiFeCoGe after structural relaxation, with properties calculated at the PBE level.

The space group is F-43m (No. 216) and the conventional cell measures 5.722, 5.722 and 5.722 Å, with angles of 90.00, 90.00 and 90.00 degrees. The distinct sites, in fractional coordinates, are Li at (0.000, 0.000, 0.000), Fe at (0.250, 0.250, 0.250), Co at (0.000, 0.000, 0.500) and Ge at (0.250, 0.250, 0.750).

The energy relative to the lowest polymorph listed for this composition is 0.0000 eV/atom. The uncorrected energy comes out at -90.69 eV/cell. As for the size of the total moment: 3.9 μB per formula unit.